No. 1
DFT (GGA-PBE) results for a relaxed Li3Ca2Mg12In crystal.

E_form = 1.54 eV/f.u.

Structure (CIF):
```
data_Li3Ca2Mg12In
_chemical_formula_sum 'Li3 Ca2 Mg12 In1'
_space_group_name_H-M_alt 'P 1'
_space_group_IT_number 1
_cell_length_a 7.806
_cell_length_b 7.806
_cell_length_c 7.806
_cell_angle_alpha 83.33
_cell_angle_beta 83.33
_cell_angle_gamma 83.33
loop_
_space_group_symop_operation_xyz
'x,y,z'
loop_
_atom_site_label
_atom_site_fract_x
_atom_site_fract_y
_atom_site_fract_z
Li1 0.500 0.000 0.000
Li2 0.000 0.500 0.000
Li3 0.000 0.000 0.500
Ca1 0.622 0.622 0.622
Ca2 0.378 0.378 0.378
Mg1 0.384 0.384 0.935
Mg2 0.806 0.806 0.287
Mg3 0.287 0.806 0.806
Mg4 0.935 0.384 0.384
Mg5 0.806 0.287 0.806
Mg6 0.384 0.935 0.384
Mg7 0.616 0.616 0.065
Mg8 0.194 0.194 0.713
Mg9 0.713 0.194 0.194
Mg10 0.065 0.616 0.616
Mg11 0.194 0.713 0.194
Mg12 0.616 0.065 0.616
In1 0.000 0.000 0.000
```

***

No. 2
DFT (GGA-PBE) results for a relaxed LiCa2Mg2In5 crystal.

E_form = -2.44 eV/f.u.

Structure (CIF):
```
data_LiCa2Mg2In5
_chemical_formula_sum 'Li2 Ca4 Mg4 In10'
_space_group_name_H-M_alt 'P 1'
_space_group_IT_number 1
_cell_length_a 4.414
_cell_length_b 10.761
_cell_length_c 10.761
_cell_angle_alpha 90.00
_cell_angle_beta 90.00
_cell_angle_gamma 90.00
loop_
_space_group_symop_operation_xyz
'x,y,z'
loop_
_atom_site_label
_atom_site_fract_x
_atom_site_fract_y
_atom_site_fract_z
Li1 0.000 0.000 0.000
Li2 0.000 0.500 0.500
Ca1 0.000 0.677 0.177
Ca2 0.000 0.323 0.823
Ca3 0.000 0.177 0.323
Ca4 0.000 0.823 0.677
Mg1 0.000 0.121 0.621
Mg2 0.000 0.879 0.379
Mg3 0.000 0.621 0.879
Mg4 0.000 0.379 0.121
In1 0.500 0.196 0.061
In2 0.500 0.804 0.939
In3 0.500 0.061 0.804
In4 0.500 0.696 0.439
In5 0.500 0.939 0.196
In6 0.500 0.304 0.561
In7 0.500 0.561 0.696
In8 0.500 0.439 0.304
In9 0.500 0.500 0.000
In10 0.500 0.000 0.500
```

***

No. 3
DFT (GGA-PBE) results for a relaxed LiCaMg2In2 crystal.

E_form = -1.45 eV/f.u.

Structure (CIF):
```
data_LiCaMg2In2
_chemical_formula_sum 'Li1 Ca1 Mg2 In2'
_space_group_name_H-M_alt 'P 1'
_space_group_IT_number 1
_cell_length_a 5.038
_cell_length_b 5.038
_cell_length_c 6.669
_cell_angle_alpha 90.00
_cell_angle_beta 90.00
_cell_angle_gamma 120.00
loop_
_space_group_symop_operation_xyz
'x,y,z'
loop_
_atom_site_label
_atom_site_fract_x
_atom_site_fract_y
_atom_site_fract_z
Li1 0.000 0.000 0.500
Ca1 0.000 0.000 0.000
Mg1 0.333 0.667 0.700
Mg2 0.667 0.333 0.300
In1 0.333 0.667 0.231
In2 0.667 0.333 0.769
```

***

No. 4
DFT (GGA-PBE) results for a relaxed LiCaInN2 crystal.

ΔE_f (raw) = 5.704 eV per formula unit

Structure (CIF):
```
data_LiCaInN2
_chemical_formula_sum 'Li1 Ca1 In1 N2'
_space_group_name_H-M_alt 'P 1'
_space_group_IT_number 1
_cell_length_a 4.510
_cell_length_b 4.860
_cell_length_c 4.510
_cell_angle_alpha 90.00
_cell_angle_beta 90.00
_cell_angle_gamma 90.00
loop_
_space_group_symop_operation_xyz
'x,y,z'
loop_
_atom_site_label
_atom_site_fract_x
_atom_site_fract_y
_atom_site_fract_z
Ca1 0.000 0.000 0.000
N1 0.000 0.000 0.500
N2 0.500 0.000 0.000
Li1 0.000 0.500 0.000
In1 0.500 0.500 0.500
```

***

No. 5
DFT (GGA-PBE) results for a relaxed NaLi2Ca2In5 crystal.

E_form = -2.77 eV/f.u.

Structure (CIF):
```
data_NaLi2Ca2In5
_chemical_formula_sum 'Na2 Li4 Ca4 In10'
_space_group_name_H-M_alt 'P 1'
_space_group_IT_number 1
_cell_length_a 3.876
_cell_length_b 11.255
_cell_length_c 11.255
_cell_angle_alpha 90.00
_cell_angle_beta 90.00
_cell_angle_gamma 90.00
loop_
_space_group_symop_operation_xyz
'x,y,z'
loop_
_atom_site_label
_atom_site_fract_x
_atom_site_fract_y
_atom_site_fract_z
Na1 0.000 0.000 0.000
Na2 0.000 0.500 0.500
Li1 0.000 0.121 0.621
Li2 0.000 0.879 0.379
Li3 0.000 0.621 0.879
Li4 0.000 0.379 0.121
Ca1 0.000 0.679 0.179
Ca2 0.000 0.321 0.821
Ca3 0.000 0.179 0.321
Ca4 0.000 0.821 0.679
In1 0.500 0.208 0.063
In2 0.500 0.792 0.937
In3 0.500 0.063 0.792
In4 0.500 0.708 0.437
In5 0.500 0.937 0.208
In6 0.500 0.292 0.563
In7 0.500 0.563 0.708
In8 0.500 0.437 0.292
In9 0.500 0.500 0.000
In10 0.500 0.000 0.500
```

***

No. 6
DFT (GGA-PBE) results for a relaxed Li2Ca2NdIn2 crystal.

E_form = -1.90 eV/f.u.

Structure (CIF):
```
data_Li2Ca2NdIn2
_chemical_formula_sum 'Li2 Ca2 Nd1 In2'
_space_group_name_H-M_alt 'P 1'
_space_group_IT_number 1
_cell_length_a 5.041
_cell_length_b 5.041
_cell_length_c 9.456
_cell_angle_alpha 74.54
_cell_angle_beta 74.54
_cell_angle_gamma 60.00
loop_
_space_group_symop_operation_xyz
'x,y,z'
loop_
_atom_site_label
_atom_site_fract_x
_atom_site_fract_y
_atom_site_fract_z
Li1 0.608 0.608 0.177
Li2 0.392 0.392 0.823
Ca1 0.127 0.127 0.619
Ca2 0.873 0.873 0.381
Nd1 0.000 0.000 0.000
In1 0.733 0.733 0.801
In2 0.267 0.267 0.199
```

***

No. 7
DFT (GGA-PBE) results for a relaxed LiCaInNi crystal.

E_form = -0.84 eV/f.u.

Structure (CIF):
```
data_LiCaInNi
_chemical_formula_sum 'Li1 Ca1 In1 Ni1'
_space_group_name_H-M_alt 'P 1'
_space_group_IT_number 1
_cell_length_a 4.756
_cell_length_b 4.756
_cell_length_c 4.756
_cell_angle_alpha 60.00
_cell_angle_beta 60.00
_cell_angle_gamma 60.00
loop_
_space_group_symop_operation_xyz
'x,y,z'
loop_
_atom_site_label
_atom_site_fract_x
_atom_site_fract_y
_atom_site_fract_z
Ni1 0.250 0.250 0.250
Ca1 0.000 0.000 0.000
Li1 0.750 0.750 0.750
In1 0.500 0.500 0.500
```

***

No. 8
DFT (GGA-PBE) results for a relaxed LiCaIn2Ni crystal.

E_form = -0.96 eV/f.u.

Structure (CIF):
```
data_LiCaIn2Ni
_chemical_formula_sum 'Li1 Ca1 In2 Ni1'
_space_group_name_H-M_alt 'P 1'
_space_group_IT_number 1
_cell_length_a 4.930
_cell_length_b 4.930
_cell_length_c 4.840
_cell_angle_alpha 90.00
_cell_angle_beta 90.00
_cell_angle_gamma 90.00
loop_
_space_group_symop_operation_xyz
'x,y,z'
loop_
_atom_site_label
_atom_site_fract_x
_atom_site_fract_y
_atom_site_fract_z
Ni1 0.000 0.000 0.000
Ca1 0.500 0.500 0.500
Li1 0.000 0.000 0.500
In1 0.000 0.500 0.000
In2 0.500 0.000 0.000
```

***

No. 9
DFT (GGA-PBE) results for a relaxed LiCa2InNi crystal.

E_form = -0.63 eV/f.u.

Structure (CIF):
```
data_LiCa2InNi
_chemical_formula_sum 'Li1 Ca2 In1 Ni1'
_space_group_name_H-M_alt 'P 1'
_space_group_IT_number 1
_cell_length_a 5.373
_cell_length_b 5.373
_cell_length_c 4.974
_cell_angle_alpha 90.00
_cell_angle_beta 90.00
_cell_angle_gamma 90.00
loop_
_space_group_symop_operation_xyz
'x,y,z'
loop_
_atom_site_label
_atom_site_fract_x
_atom_site_fract_y
_atom_site_fract_z
Ni1 0.000 0.000 0.000
Ca1 0.000 0.500 0.000
Ca2 0.500 0.000 0.000
Li1 0.500 0.500 0.500
In1 0.000 0.000 0.500
```

***

No. 10
DFT (GGA-PBE) results for a relaxed LiCa3In3O8 crystal.

ΔE_f (raw) = -31.030 eV per formula unit

Structure (CIF):
```
data_LiCa3In3O8
_chemical_formula_sum 'Li1 Ca3 In3 O8'
_space_group_name_H-M_alt 'P 1'
_space_group_IT_number 1
_cell_length_a 6.514
_cell_length_b 6.514
_cell_length_c 6.576
_cell_angle_alpha 119.68
_cell_angle_beta 90.00
_cell_angle_gamma 120.00
loop_
_space_group_symop_operation_xyz
'x,y,z'
loop_
_atom_site_label
_atom_site_fract_x
_atom_site_fract_y
_atom_site_fract_z
Li1 0.000 0.000 0.500
Ca1 0.000 0.000 0.000
Ca2 0.000 0.500 0.000
Ca3 0.500 0.500 0.000
In1 0.500 0.000 0.500
In2 0.500 0.500 0.500
In3 0.000 0.500 0.500
O1 0.252 0.503 0.255
O2 0.748 0.497 0.745
O3 0.762 0.524 0.281
O4 0.238 0.476 0.719
O5 0.762 0.019 0.281
O6 0.238 0.981 0.719
O7 0.257 0.019 0.281
O8 0.743 0.981 0.719
```

***

No. 11
DFT (GGA-PBE) results for a relaxed LiCa2InO4 crystal.

ΔE_f (raw) = -18.309 eV per formula unit

Structure (CIF):
```
data_LiCa2InO4
_chemical_formula_sum 'Li1 Ca2 In1 O4'
_space_group_name_H-M_alt 'P 1'
_space_group_IT_number 1
_cell_length_a 3.372
_cell_length_b 5.584
_cell_length_c 5.660
_cell_angle_alpha 72.31
_cell_angle_beta 90.00
_cell_angle_gamma 90.00
loop_
_space_group_symop_operation_xyz
'x,y,z'
loop_
_atom_site_label
_atom_site_fract_x
_atom_site_fract_y
_atom_site_fract_z
Li1 0.000 0.500 0.500
Ca1 0.000 0.000 0.000
Ca2 0.500 0.000 0.500
In1 0.500 0.500 0.000
O1 0.000 0.734 0.752
O2 0.000 0.266 0.248
O3 0.500 0.745 0.236
O4 0.500 0.255 0.764
```

***

No. 12
DFT (GGA-PBE) results for a relaxed LiCaIn2O4 crystal.

ΔE_f (raw) = -14.113 eV per formula unit

Structure (CIF):
```
data_LiCaIn2O4
_chemical_formula_sum 'Li2 Ca2 In4 O8'
_space_group_name_H-M_alt 'P 1'
_space_group_IT_number 1
_cell_length_a 3.353
_cell_length_b 5.735
_cell_length_c 11.274
_cell_angle_alpha 90.00
_cell_angle_beta 90.00
_cell_angle_gamma 107.00
loop_
_space_group_symop_operation_xyz
'x,y,z'
loop_
_atom_site_label
_atom_site_fract_x
_atom_site_fract_y
_atom_site_fract_z
Li1 0.844 0.689 0.750
Li2 0.156 0.311 0.250
Ca1 0.107 0.215 0.750
Ca2 0.893 0.785 0.250
In1 0.369 0.739 0.554
In2 0.631 0.261 0.054
In3 0.631 0.261 0.446
In4 0.369 0.739 0.946
O1 0.269 0.538 0.120
O2 0.731 0.462 0.620
O3 0.731 0.462 0.880
O4 0.269 0.538 0.380
O5 0.000 0.000 0.500
O6 0.000 0.000 0.000
O7 0.446 0.891 0.750
O8 0.554 0.109 0.250
```

***

Question: What is the formula in the twelfth record?
Answer: LiCaIn2O4